{
  "formula": "UCu2P2O10",
  "functional": "meta-GGA SCAN",
  "state": "single point on PBEsol structure",
  "lattice_angstrom": [[-0.546, 4.979, 0.570], [-3.457, 0.141, -4.548], [-3.319, -3.363, 6.008]],
  "species": ["U", "Cu", "Cu", "P", "P", "O", "O", "O", "O", "O", "O", "O", "O", "O", "O"],
  "fractional_positions": [[0.000, 0.000, 0.000], [0.500, 0.500, 0.500], [0.500, 0.000, 0.500], [0.092, 0.354, 0.708], [0.908, 0.646, 0.292], [0.785, 0.279, 0.559], [0.142, 0.196, 0.835], [0.215, 0.721, 0.441], [0.142, 0.638, 0.835], [0.337, 0.101, 0.201], [0.663, 0.899, 0.799], [0.702, 0.708, 0.416], [0.858, 0.804, 0.165], [0.858, 0.362, 0.165], [0.298, 0.292, 0.584]],
  "dos_ef_per_ev_fu": 0.00,
  "crystal_system": "monoclinic",
  "total_energy_ev_per_atom": -16.75,
  "e_form_raw_ev_per_atom": -2.28
}



{
  "formula": "MgIn3",
  "functional": "meta-GGA SCAN",
  "state": "single point on PBEsol structure",
  "lattice_angstrom": [[3.305, 0.000, 0.000], [0.000, 5.538, -0.037], [0.000, -1.795, 5.240]],
  "species": ["Mg", "In", "In", "In"],
  "fractional_positions": [[0.000, 0.500, 0.500], [0.000, 0.000, 0.000], [0.500, 0.000, 0.500], [0.500, 0.500, 0.000]],
  "delta_e_f_ev_per_atom": -0.058,
  "dos_ef_per_ev_fu": 1.37,
  "crystal_system": "orthorhombic",
  "total_energy_ev_per_atom": -26.34
}



{
  "formula": "BaCdTeN2",
  "functional": "meta-GGA SCAN",
  "state": "single point on PBEsol structure",
  "lattice_angstrom": [[4.691, 0.000, 0.000], [0.000, 4.691, 0.000], [0.000, 0.000, 5.597]],
  "species": ["N", "N", "Te", "Ba", "Cd"],
  "fractional_positions": [[0.000, 0.500, 0.000], [0.500, 0.000, 0.000], [0.000, 0.000, 0.500], [0.500, 0.500, 0.500], [0.000, 0.000, 0.000]],
  "dos_ef_per_ev_fu": 1.39,
  "crystal_system": "tetragonal",
  "total_energy_ev_per_atom": -24.54,
  "e_form_raw_ev_per_atom": 0.62
}